1.
Here is a relaxed Pm3Au2O crystal from Alexandria. Energies are from PBE-GGA.

a = 6.884 Å, b = 6.884 Å, c = 7.204 Å
α = 102.55°, β = 102.55°, γ = 61.85°
Sites, in units of the cell vectors:
Pm 0.089 0.911 0.750
Pm 0.294 0.433 0.023
Pm 0.433 0.294 0.523
Pm 0.567 0.706 0.477
Pm 0.706 0.567 0.977
Pm 0.911 0.089 0.250
Au 0.005 0.347 0.645
Au 0.347 0.005 0.145
Au 0.653 0.995 0.855
Au 0.995 0.653 0.355
O 0.415 0.585 0.750
O 0.585 0.415 0.250

## Properties
The calculation puts the total energy at -5.68 eV/atom. The spin magnetization comes out at 0.0 μB/f.u. As for the symmetry: No. 15. The value obtained for the energy relative to the elements, uncorrected is -8.3 eV/f.u. The volume is 291 Å³/cell.



2.
Here is a relaxed Pm3AuO crystal from Alexandria. Energies are from PBE-GGA.

a = 4.869 Å, b = 4.869 Å, c = 4.869 Å
α = 90.00°, β = 90.00°, γ = 90.00°
Sites, in units of the cell vectors:
Pm 0.000 0.000 0.500
Pm 0.000 0.500 0.000
Pm 0.500 0.000 0.000
Au 0.500 0.500 0.500
O 0.000 0.000 0.000

## Properties
The calculation puts the total energy at -5.87 eV/atom. The spin magnetization comes out at 0.0 μB/f.u. As for the symmetry: No. 221. The value obtained for the energy relative to the elements, uncorrected is -6.9 eV/f.u. The volume is 115 Å³/cell.



3.
Here is a relaxed Pm3AuO6 crystal from Alexandria. Energies are from PBE-GGA.

a = 7.419 Å, b = 7.419 Å, c = 5.692 Å
α = 90.00°, β = 90.00°, γ = 101.10°
Sites, in units of the cell vectors:
Pm 0.103 0.897 0.500
Pm 0.169 0.407 0.554
Pm 0.407 0.169 0.054
Pm 0.593 0.831 0.554
Pm 0.831 0.593 0.054
Pm 0.897 0.103 0.000
Au 0.369 0.631 0.052
Au 0.631 0.369 0.552
O 0.094 0.607 0.268
O 0.141 0.171 0.281
O 0.171 0.141 0.781
O 0.283 0.717 0.743
O 0.393 0.906 0.268
O 0.468 0.532 0.364
O 0.532 0.468 0.864
O 0.607 0.094 0.768
O 0.717 0.283 0.243
O 0.829 0.859 0.281
O 0.859 0.829 0.781
O 0.906 0.393 0.768

## Properties
The calculation puts the total energy at -7.22 eV/atom. The spin magnetization comes out at 0.0 μB/f.u. As for the symmetry: No. 36. The value obtained for the energy relative to the elements, uncorrected is -24.9 eV/f.u. The volume is 307 Å³/cell.



4.
Here is a relaxed PmPrAu2O8 crystal from Alexandria. Energies are from PBE-GGA.

a = 6.616 Å, b = 6.616 Å, c = 6.616 Å
α = 129.37°, β = 129.37°, γ = 74.42°
Sites, in units of the cell vectors:
Pm 0.000 0.000 0.000
Pr 0.250 0.750 0.500
Au 0.500 0.500 0.000
Au 0.750 0.250 0.500
O 0.039 0.319 0.938
O 0.211 0.421 0.557
O 0.345 0.789 0.210
O 0.381 0.101 0.062
O 0.579 0.136 0.790
O 0.681 0.619 0.720
O 0.864 0.655 0.443
O 0.899 0.961 0.280

## Properties
The calculation puts the total energy at -5.79 eV/atom. The spin magnetization comes out at 4.1 μB/f.u. As for the symmetry: No. 82. The value obtained for the energy relative to the elements, uncorrected is -13.7 eV/f.u. The volume is 169 Å³/cell.



5.
Here is a relaxed PmPuAu2O8 crystal from Alexandria. Energies are from PBE-GGA.

a = 6.180 Å, b = 6.180 Å, c = 6.180 Å
α = 111.32°, β = 111.32°, γ = 105.84°
Sites, in units of the cell vectors:
Pm 0.000 0.000 0.000
Pu 0.750 0.250 0.500
Au 0.250 0.750 0.500
Au 0.500 0.500 0.000
O 0.041 0.372 0.331
O 0.041 0.709 0.669
O 0.057 0.272 0.785
O 0.291 0.959 0.331
O 0.487 0.272 0.215
O 0.628 0.959 0.669
O 0.728 0.513 0.785
O 0.728 0.943 0.215

## Properties
The calculation puts the total energy at -6.70 eV/atom. The spin magnetization comes out at 1.0 μB/f.u. As for the symmetry: No. 119. The value obtained for the energy relative to the elements, uncorrected is -15.1 eV/f.u. The volume is 181 Å³/cell.



6.
Here is a relaxed RbPm2Au2O6 crystal from Alexandria. Energies are from PBE-GGA.

a = 6.328 Å, b = 6.410 Å, c = 6.767 Å
α = 116.09°, β = 97.89°, γ = 109.07°
Sites, in units of the cell vectors:
Rb 0.000 0.000 0.000
Pm 0.021 0.340 0.684
Pm 0.979 0.660 0.316
Au 0.457 0.045 0.819
Au 0.543 0.955 0.181
O 0.158 0.714 0.672
O 0.228 0.664 0.088
O 0.251 0.114 0.605
O 0.749 0.886 0.395
O 0.772 0.336 0.912
O 0.842 0.286 0.328

## Properties
The calculation puts the total energy at -5.87 eV/atom. The spin magnetization comes out at 0.9 μB/f.u. As for the symmetry: No. 2. The value obtained for the energy relative to the elements, uncorrected is -17.8 eV/f.u. The volume is 220 Å³/cell.



7.
Here is a relaxed Rb2PmAuO4 crystal from Alexandria. Energies are from PBE-GGA.

a = 6.541 Å, b = 6.541 Å, c = 7.349 Å
α = 90.00°, β = 90.00°, γ = 90.00°
Sites, in units of the cell vectors:
Rb 0.000 0.000 0.000
Rb 0.000 0.500 0.250
Rb 0.500 0.000 0.750
Rb 0.500 0.500 0.500
Pm 0.000 0.500 0.750
Pm 0.500 0.000 0.250
Au 0.000 0.000 0.500
Au 0.500 0.500 0.000
O 0.141 0.725 0.553
O 0.225 0.359 0.947
O 0.275 0.141 0.447
O 0.359 0.775 0.053
O 0.641 0.225 0.053
O 0.725 0.859 0.447
O 0.775 0.641 0.947
O 0.859 0.275 0.553

## Properties
The calculation puts the total energy at -5.25 eV/atom. The spin magnetization comes out at 0.0 μB/f.u. As for the symmetry: No. 82. The value obtained for the energy relative to the elements, uncorrected is -12.2 eV/f.u. The volume is 314 Å³/cell.



8.
Here is a relaxed Rb2Pm2AuO6 crystal from Alexandria. Energies are from PBE-GGA.

a = 6.086 Å, b = 6.086 Å, c = 6.938 Å
α = 97.32°, β = 97.32°, γ = 120.42°
Sites, in units of the cell vectors:
Rb 0.159 0.841 0.000
Rb 0.841 0.159 0.000
Pm 0.334 0.666 0.500
Pm 0.666 0.334 0.500
Au 0.000 0.000 0.500
O 0.047 0.377 0.676
O 0.245 0.245 0.339
O 0.377 0.047 0.676
O 0.623 0.953 0.324
O 0.755 0.755 0.661
O 0.953 0.623 0.324

## Properties
The calculation puts the total energy at -5.87 eV/atom. The spin magnetization comes out at 1.0 μB/f.u. As for the symmetry: No. 12. The value obtained for the energy relative to the elements, uncorrected is -20.1 eV/f.u. The volume is 214 Å³/cell.